No. 1
DFT (GGA-PBE) results for a geometry-optimized CaZrMo2 structure.

## Properties
Final energy (eV/cell): -30.5
Total moment (μB per formula unit): 0.000
Energy of formation from the pure elements (eV/atom): 0.419
Polymorph energy (0 for the lowest one) (meV/atom): 141

a = 3.6961 Å, b = 3.6961 Å, c = 6.6929 Å
α = 90.00°, β = 90.00°, γ = 90.00°
With the nearest neighbours (Å) after each atom.
Element x y z (fractional)
Ca 0.0000 0.0000 0.0000  2 Zr 3.35, 8 Mo 3.40, 4 Ca 3.70
Zr 0.0000 0.0000 0.5000  8 Mo 2.87
Mo 0.5000 0.5000 0.3245  1 Mo 2.35
Mo 0.5000 0.5000 0.6755  1 Mo 2.35


No. 2
DFT (GGA-PBE) results for a geometry-optimized CaZr4Mo structure.

## Properties
Final energy (eV/cell): -43.1
Total moment (μB per formula unit): 1.494
Energy of formation from the pure elements (eV/atom): 0.650

a = 5.8622 Å, b = 5.8622 Å, c = 5.8622 Å
α = 60.00°, β = 60.00°, γ = 60.00°
With the nearest neighbours (Å) after each atom.
Element x y z (fractional)
Ca 0.0000 0.0000 0.0000  12 Zr 3.44, 4 Mo 3.59
Zr 0.3773 0.3773 0.3773  6 Zr 2.88-2.98
Zr 0.3773 0.3773 0.8681  6 Zr 2.88-2.98
Zr 0.3773 0.8681 0.3773  6 Zr 2.88-2.98
Zr 0.8681 0.3773 0.3773  6 Zr 2.88-2.98
Mo 0.7500 0.7500 0.7500  12 Zr 3.43, 4 Ca 3.59


No. 3
DFT (GGA-PBE) results for a geometry-optimized CaZrMo2 structure.

## Properties
Final energy (eV/cell): -30.3
Total moment (μB per formula unit): 0.000
Energy of formation from the pure elements (eV/atom): 0.475
Polymorph energy (0 for the lowest one) (meV/atom): 197

a = 3.0243 Å, b = 4.6912 Å, c = 6.4053 Å
α = 90.00°, β = 98.56°, γ = 90.00°
With the nearest neighbours (Å) after each atom.
Element x y z (fractional)
Ca 0.0000 0.0000 0.0000  2 Ca 3.02, 4 Mo 3.24, 2 Zr 3.33
Zr 0.5000 0.0000 0.5000  4 Mo 2.83, 2 Zr 3.02
Mo 0.1865 0.5000 0.6759  1 Mo 2.37
Mo 0.8135 0.5000 0.3241  1 Mo 2.37


No. 4
DFT (GGA-PBE) results for a geometry-optimized Ca2ZrMo structure.

## Properties
Final energy (eV/cell): -21.3
Total moment (μB per formula unit): 0.000
Energy of formation from the pure elements (eV/atom): 0.515
Polymorph energy (0 for the lowest one) (meV/atom): 247

a = 4.8206 Å, b = 4.8206 Å, c = 7.6620 Å
α = 93.84°, β = 93.84°, γ = 40.43°
With the nearest neighbours (Å) after each atom.
Element x y z (fractional)
Ca 0.0000 0.0000 0.0000  3 Zr 3.18-3.45, 2 Mo 3.28, 3 Ca 3.33-3.56
Ca 0.2291 0.2291 0.6407  3 Mo 3.25-3.35, 2 Zr 3.27, 3 Ca 3.33-3.56
Zr 0.7543 0.7543 0.2772  3 Mo 2.55-2.74
Mo 0.4883 0.4883 0.3677  3 Zr 2.55-2.74


No. 5
DFT (GGA-PBE) results for a geometry-optimized Ca2ZrMo structure.

## Properties
Final energy (eV/cell): -20.6
Total moment (μB per formula unit): 0.000
Energy of formation from the pure elements (eV/atom): 0.699
Polymorph energy (0 for the lowest one) (meV/atom): 431

a = 3.0395 Å, b = 5.2940 Å, c = 5.9656 Å
α = 90.00°, β = 90.00°, γ = 90.00°
With the nearest neighbours (Å) after each atom.
Element x y z (fractional)
Ca 0.0000 0.0000 0.2405  4 Ca 2.87-3.10
Ca 0.0000 0.0000 0.7595  4 Ca 2.87-3.10
Zr 0.5000 0.5000 0.5000  2 Mo 2.98, 2 Zr 3.04
Mo 0.5000 0.5000 0.0000  2 Zr 2.98, 2 Mo 3.04


No. 6
DFT (GGA-PBE) results for a geometry-optimized Ca2ZrMo structure.

## Properties
Final energy (eV/cell): -38.0
Total moment (μB per formula unit): 0.000
Energy of formation from the pure elements (eV/atom): 1.093
Polymorph energy (0 for the lowest one) (meV/atom): 825

a = 6.7139 Å, b = 6.7139 Å, c = 6.7139 Å
α = 100.31°, β = 100.31°, γ = 129.95°
With the nearest neighbours (Å) after each atom.
Element x y z (fractional)
Ca 0.0905 0.6250 0.9655  2 Ca 2.90, 2 Mo 2.93
Ca 0.3750 0.3405 0.4655  2 Ca 2.90, 2 Mo 2.93
Ca 0.6595 0.1250 0.0345  2 Ca 2.90, 2 Mo 2.93
Ca 0.8750 0.9095 0.5345  2 Ca 2.90, 2 Mo 2.93
Zr 0.2500 0.7500 0.5000  2 Mo 2.84
Zr 0.5000 0.5000 0.0000  2 Mo 2.84
Mo 0.0000 0.0000 0.0000  2 Zr 2.84, 4 Ca 2.93
Mo 0.7500 0.2500 0.5000  2 Zr 2.84, 4 Ca 2.93


No. 7
DFT (GGA-PBE) results for a geometry-optimized CaZrMo2 structure.

## Properties
Final energy (eV/cell): -29.5
Total moment (μB per formula unit): 0.000
Energy of formation from the pure elements (eV/atom): 0.668
Polymorph energy (0 for the lowest one) (meV/atom): 390

a = 5.6105 Å, b = 5.6105 Å, c = 5.6105 Å
α = 144.79°, β = 128.49°, γ = 63.93°
With the nearest neighbours (Å) after each atom.
Element x y z (fractional)
Ca 0.0000 0.0000 0.0000  4 Zr 2.97, 4 Mo 3.00
Zr 0.5000 0.5000 0.0000  4 Mo 2.85, 4 Ca 2.97
Mo 0.2600 0.7600 0.5000  2 Zr 2.85, 4 Mo 2.98, 2 Ca 3.00
Mo 0.7400 0.2400 0.5000  2 Zr 2.85, 4 Mo 2.98, 2 Ca 3.00


No. 8
DFT (GGA-PBE) results for a geometry-optimized CaZr2Mo structure.

## Properties
Final energy (eV/cell): -29.0
Total moment (μB per formula unit): 0.000
Energy of formation from the pure elements (eV/atom): 0.237
Polymorph energy (0 for the lowest one) (meV/atom): 112

a = 3.2042 Å, b = 3.2042 Å, c = 10.1592 Å
α = 90.00°, β = 90.00°, γ = 113.62°
With the nearest neighbours (Å) after each atom.
Element x y z (fractional)
Ca 0.0000 0.0000 0.0000  6 Ca 3.20-3.51, 4 Zr 3.51
Zr 0.5000 0.5000 0.2994  2 Mo 2.69
Zr 0.5000 0.5000 0.7006  2 Mo 2.69
Mo 0.0000 0.0000 0.5000  4 Zr 2.69


> Among the records above, which one has the lowest energy of formation from the pure elements?

CaZr2Mo


> What is the formula in the second record?

CaZr4Mo


Repeat the first record exactly.
DFT (GGA-PBE) results for a geometry-optimized CaZrMo2 structure.

## Properties
Final energy (eV/cell): -30.5
Total moment (μB per formula unit): 0.000
Energy of formation from the pure elements (eV/atom): 0.419
Polymorph energy (0 for the lowest one) (meV/atom): 141

a = 3.6961 Å, b = 3.6961 Å, c = 6.6929 Å
α = 90.00°, β = 90.00°, γ = 90.00°
With the nearest neighbours (Å) after each atom.
Element x y z (fractional)
Ca 0.0000 0.0000 0.0000  2 Zr 3.35, 8 Mo 3.40, 4 Ca 3.70
Zr 0.0000 0.0000 0.5000  8 Mo 2.87
Mo 0.5000 0.5000 0.3245  1 Mo 2.35
Mo 0.5000 0.5000 0.6755  1 Mo 2.35